Record 1
Entry from the Alexandria database: BC after structural relaxation (GGA-PBE).

The structure in CIF format:
```
data_BC
_chemical_formula_sum 'B12 C12'
_cell_length_a 8.6521
_cell_length_b 2.5760
_cell_length_c 8.2562
_cell_angle_alpha 90.00
_cell_angle_beta 118.49
_cell_angle_gamma 90.00
_space_group_name_H-M_alt 'C 1 m 1'
_space_group_IT_number 8
loop_
_space_group_symop_operation_xyz
'x,y,z'
'x,-y,z'
'x+1/2,y+1/2,z'
'x+1/2,-y+1/2,z'
loop_
_atom_site_label
_atom_site_type_symbol
_atom_site_fract_x
_atom_site_fract_y
_atom_site_fract_z
B1 B 0.0000 0.0000 0.0000
B2 B 0.0197 0.5000 0.4391
B3 B 0.1691 0.5000 0.8475
B4 B 0.2780 0.0000 0.1750
B5 B 0.3299 0.5000 0.5615
B6 B 0.3525 0.5000 0.0857
C1 C 0.0000 0.5000 0.8821
C2 C 0.0023 0.0000 0.5379
C3 C 0.1416 0.0000 0.2506
C4 C 0.1493 0.5000 0.3554
C5 C 0.1720 0.0000 0.7206
C6 C 0.3350 0.0000 0.7005
```

## Properties
distance to the lowest polymorph of the same formula	253	meV per atom
Fermi-level density of states	2.56	states/eV/cell
DFT formation energy	0.40	eV per atom



Record 2
Entry from the Alexandria database: BC after structural relaxation (GGA-PBE).

The structure in CIF format:
```
data_BC
_chemical_formula_sum 'B12 C12'
_cell_length_a 14.0901
_cell_length_b 2.5545
_cell_length_c 4.7742
_cell_angle_alpha 90.00
_cell_angle_beta 108.34
_cell_angle_gamma 90.00
_space_group_name_H-M_alt 'C 1 m 1'
_space_group_IT_number 8
loop_
_space_group_symop_operation_xyz
'x,y,z'
'x,-y,z'
'x+1/2,y+1/2,z'
'x+1/2,-y+1/2,z'
loop_
_atom_site_label
_atom_site_type_symbol
_atom_site_fract_x
_atom_site_fract_y
_atom_site_fract_z
B1 B 0.0000 0.0000 0.0000
B2 B 0.0093 0.5000 0.5772
B3 B 0.1300 0.0000 0.1361
B4 B 0.1482 0.5000 0.3850
B5 B 0.3050 0.5000 0.4852
B6 B 0.4422 0.5000 0.3211
C1 C 0.1307 0.5000 0.6853
C2 C 0.1721 0.0000 0.8669
C3 C 0.2889 0.0000 0.9788
C4 C 0.3258 0.5000 0.1701
C5 C 0.3345 0.0000 0.7133
C6 C 0.4466 0.0000 0.8301
```

## Properties
distance to the lowest polymorph of the same formula	272	meV per atom
Fermi-level density of states	2.98	states/eV/cell
DFT formation energy	0.42	eV per atom



Record 3
Entry from the Alexandria database: B7C5 after structural relaxation (GGA-PBE).

The structure in CIF format:
```
data_B7C5
_chemical_formula_sum 'B14 C10'
_cell_length_a 9.0574
_cell_length_b 3.6340
_cell_length_c 5.6300
_cell_angle_alpha 90.00
_cell_angle_beta 114.11
_cell_angle_gamma 90.00
_space_group_name_H-M_alt 'C 1 2 1'
_space_group_IT_number 5
loop_
_space_group_symop_operation_xyz
'x,y,z'
'-x,y,-z'
'x+1/2,y+1/2,z'
'-x+1/2,y+1/2,-z'
loop_
_atom_site_label
_atom_site_type_symbol
_atom_site_fract_x
_atom_site_fract_y
_atom_site_fract_z
B1 B 0.0000 0.0000 0.0000
B2 B 0.0266 0.2084 0.7452
B3 B 0.1774 0.7586 0.0434
B4 B 0.1797 0.4823 0.3530
C1 C 0.0000 0.9617 0.5000
C2 C 0.1564 0.7270 0.5816
C3 C 0.1652 0.4914 0.8104
```

## Properties
distance to the lowest polymorph of the same formula	268	meV per atom
Fermi-level density of states	2.42	states/eV/cell
DFT formation energy	0.43	eV per atom



Record 4
Entry from the Alexandria database: BC after structural relaxation (GGA-PBE).

The structure in CIF format:
```
data_BC
_chemical_formula_sum 'B6 C6'
_cell_length_a 4.5026
_cell_length_b 4.6581
_cell_length_c 4.7150
_cell_angle_alpha 62.29
_cell_angle_beta 78.68
_cell_angle_gamma 71.93
_space_group_name_H-M_alt 'P 1'
_space_group_IT_number 1
loop_
_space_group_symop_operation_xyz
'x,y,z'
loop_
_atom_site_label
_atom_site_type_symbol
_atom_site_fract_x
_atom_site_fract_y
_atom_site_fract_z
B1 B 0.0000 0.0000 0.0000
B2 B 0.0328 0.6241 0.7946
B3 B 0.3638 0.8281 0.1238
B4 B 0.4912 0.1353 0.7022
B5 B 0.5295 0.3695 0.0612
B6 B 0.8843 0.6418 0.3424
C1 C 0.0110 0.2613 0.3968
C2 C 0.3705 0.1436 0.3924
C3 C 0.3862 0.5015 0.7208
C4 C 0.5170 0.7670 0.4207
C5 C 0.8692 0.0018 0.7039
C6 C 0.8865 0.3379 0.0704
```

## Properties
distance to the lowest polymorph of the same formula	263	meV per atom
Fermi-level density of states	0.15	states/eV/cell
DFT formation energy	0.41	eV per atom